1.
Computed, not measured: a crystal of TaSb2Cl relaxed with PBEsol at the meta-GGA SCAN level of DFT.

a b c (Å): 3.2477 5.3774 6.6507
angles (deg): 72.14 75.87 72.42
Last column: nearest neighbours and their distance in Å.
Element x y z (fractional)
Sb1 0.2015 0.2220 0.3751  3 Ta 2.77-2.88
Sb2 0.9893 0.9674 0.0541  2 Ta 2.86, 2 Sb 3.16
Cl1 0.8324 0.6554 0.6797  2 Ta 2.47
Ta1 0.4768 0.6552 0.3911  2 Cl 2.47

Summary:
Crystal system: monoclinic
Final energy, eV per atom: -37.4426
Relative energy among the computed polymorphs, meV/atom: 0
SG: Cm
Raw formation energy, meV per atom: -172


2.
Computed, not measured: a crystal of FeCu3S8 relaxed with PBEsol at the meta-GGA SCAN level of DFT.

a b c (Å): 5.5990 5.5990 5.5990
angles (deg): 89.56 89.56 89.56
Last column: nearest neighbours and their distance in Å.
Element x y z (fractional)
S1 0.3775 0.1000 0.8999  1 S 2.09, 1 Fe 2.26
S2 0.8999 0.3775 0.1000  1 S 2.09, 1 Fe 2.26
S3 0.6032 0.6032 0.6032  1 S 2.02
S4 0.3968 0.3968 0.3968  1 S 2.02
S5 0.6225 0.9000 0.1001  1 S 2.09, 1 Fe 2.26
S6 0.1001 0.6225 0.9000  1 S 2.09, 1 Fe 2.26
Cu1 0.0000 0.5000 0.5000  6 S 2.36-2.42
Cu2 0.5000 0.0000 0.5000  6 S 2.36-2.42
Fe1 0.0000 0.0000 0.0000  6 S 2.26
S7 0.1000 0.8999 0.3775  1 S 2.09, 1 Fe 2.26
Cu3 0.5000 0.5000 0.0000  6 S 2.36-2.42
S8 0.9000 0.1001 0.6225  1 S 2.09, 1 Fe 2.26

Summary:
Crystal system: trigonal
Final energy, eV per atom: -11.9866
Relative energy among the computed polymorphs, meV/atom: 0
SG: R-3
Raw formation energy, meV per atom: -257


3.
Computed, not measured: a crystal of YHfSb2Ru relaxed with PBEsol at the meta-GGA SCAN level of DFT.

a b c (Å): 4.6297 5.3888 5.3888
angles (deg): 90.00 90.00 90.00
Last column: nearest neighbours and their distance in Å.
Element x y z (fractional)
Hf1 0.0000 0.0000 0.0000  2 Ru 2.31
Sb1 0.0000 0.5000 0.0000  2 Hf 2.69
Sb2 0.0000 0.0000 0.5000  2 Hf 2.69
Y1 0.5000 0.5000 0.5000  8 Sb 3.55, 4 Ru 3.81
Ru1 0.5000 0.0000 0.0000  2 Hf 2.31

Summary:
Crystal system: tetragonal
Final energy, eV per atom: -39.7117
SG: P4/mmm
Raw formation energy, meV per atom: 261


4.
Computed, not measured: a crystal of ZrTcHg2 relaxed with PBEsol at the meta-GGA SCAN level of DFT.

a b c (Å): 2.9719 2.9719 9.8689
angles (deg): 81.34 81.34 60.00
Last column: nearest neighbours and their distance in Å.
Element x y z (fractional)
Hg1 0.7543 0.7543 0.7371  3 Tc 2.87, 6 Hg 2.97, 3 Zr 3.08
Tc1 0.5000 0.5000 0.5000  6 Hg 2.87, 6 Tc 2.97
Zr1 0.0000 0.0000 0.0000  6 Zr 2.97, 6 Hg 3.08
Hg2 0.2457 0.2457 0.2629  3 Tc 2.87, 6 Hg 2.97, 3 Zr 3.08

Summary:
Crystal system: trigonal
Final energy, eV per atom: -50.2149
Formation enthalpy at 0 K, eV/atom: 0.3077
Relative energy among the computed polymorphs, meV/atom: 237
SG: R-3m


5.
Computed, not measured: a crystal of ZrGeP2Cl relaxed with PBEsol at the meta-GGA SCAN level of DFT.

a b c (Å): 4.5706 4.6487 4.6487
angles (deg): 90.00 90.00 90.00
Last column: nearest neighbours and their distance in Å.
Element x y z (fractional)
P1 0.0000 0.0000 0.5000  2 Ge 2.32
Cl1 0.5000 0.0000 0.0000  2 Ge 2.29
Zr1 0.5000 0.5000 0.5000  8 P 3.26, 4 Cl 3.29
P2 0.0000 0.5000 0.0000  2 Ge 2.32
Ge1 0.0000 0.0000 0.0000  2 Cl 2.29, 4 P 2.32

Summary:
Crystal system: tetragonal
Final energy, eV per atom: -15.3759
SG: P4/mmm
Raw formation energy, meV per atom: 336


6.
Computed, not measured: a crystal of Be5Fe relaxed with PBEsol at the meta-GGA SCAN level of DFT.

a b c (Å): 2.5383 4.2462 5.0128
angles (deg): 107.61 90.00 107.39
Last column: nearest neighbours and their distance in Å.
Element x y z (fractional)
Be1 0.6945 0.3890 0.3891  8 Be 2.20-2.21
Be2 0.3648 0.7295 0.7238  6 Be 2.16-2.21, 2 Fe 2.22
Be3 0.0242 0.0484 0.0540  6 Be 2.16-2.21, 2 Fe 2.22
Fe1 0.6944 0.3888 0.8888  8 Be 2.19-2.22
Be4 0.0275 0.0551 0.5549  6 Be 2.19-2.20, 2 Fe 2.19
Be5 0.3612 0.7225 0.2228  6 Be 2.19-2.20, 2 Fe 2.19

Summary:
Crystal system: monoclinic
Final energy, eV per atom: -6.6815
Formation enthalpy at 0 K, eV/atom: -0.0320
SG: C2/m


7.
Computed, not measured: a crystal of BeCdSbTe2 relaxed with PBEsol at the meta-GGA SCAN level of DFT.

a b c (Å): 5.3976 5.4804 5.4804
angles (deg): 90.00 90.00 90.00
Last column: nearest neighbours and their distance in Å.
Element x y z (fractional)
Cd1 0.0000 0.0000 0.0000  2 Sb 2.70, 4 Te 2.74
Sb1 0.5000 0.0000 0.0000  2 Cd 2.70
Te1 0.0000 0.0000 0.5000  2 Cd 2.74
Be1 0.5000 0.5000 0.5000  8 Te 3.85, 4 Sb 3.88
Te2 0.0000 0.5000 0.0000  2 Cd 2.74

Summary:
Crystal system: tetragonal
Final energy, eV per atom: -28.1198
SG: P4/mmm
Raw formation energy, meV per atom: 1186


8.
Computed, not measured: a crystal of LaCu2Re relaxed with PBEsol at the meta-GGA SCAN level of DFT.

a b c (Å): 2.8611 2.8611 7.8911
angles (deg): 90.00 90.00 90.00
Last column: nearest neighbours and their distance in Å.
Element x y z (fractional)
Re1 0.5000 0.5000 0.8088  4 Cu 2.59, 4 Re 2.86
Cu1 0.0000 0.0000 0.0142  4 Cu 2.45, 4 Re 2.59
La1 0.0000 0.0000 0.4867  4 La 2.86, 4 Cu 3.09
Cu2 0.5000 0.5000 0.1903  4 Cu 2.45

Summary:
Crystal system: tetragonal
Final energy, eV per atom: -35.7153
Formation enthalpy at 0 K, eV/atom: 0.4349
Relative energy among the computed polymorphs, meV/atom: 54
SG: P4mm


9.
Computed, not measured: a crystal of CsSrGaSb2 relaxed with PBEsol at the meta-GGA SCAN level of DFT.

a b c (Å): 6.0315 6.1362 6.1362
angles (deg): 90.00 90.00 90.00
Last column: nearest neighbours and their distance in Å.
Element x y z (fractional)
Sr1 0.5000 0.0000 0.0000  2 Cs 3.02
Cs1 0.0000 0.0000 0.0000  2 Sr 3.02, 4 Sb 3.07
Sb1 0.0000 0.0000 0.5000  2 Cs 3.07
Sb2 0.0000 0.5000 0.0000  2 Cs 3.07
Ga1 0.5000 0.5000 0.5000  8 Sb 4.30, 4 Sr 4.34

Summary:
Crystal system: tetragonal
Final energy, eV per atom: -29.1017
SG: P4/mmm
Raw formation energy, meV per atom: 1089


10.
Computed, not measured: a crystal of ErCu3S3 relaxed with PBEsol at the meta-GGA SCAN level of DFT.

a b c (Å): 6.5561 6.5561 7.2773
angles (deg): 63.23 63.23 60.00
Last column: nearest neighbours and their distance in Å.
Element x y z (fractional)
Cu1 0.0346 0.7194 0.8693  4 S 2.28-2.38
Cu2 0.6233 0.9654 0.1307  4 S 2.28-2.38
S1 0.0882 0.4179 0.7485  4 Cu 2.28-2.38
S2 0.2546 0.9118 0.2515  4 Cu 2.28-2.38
S3 0.4179 0.7454 0.7485  4 Cu 2.28-2.38
Er1 0.1665 0.1665 0.5004  6 S 2.69
Cu3 0.2806 0.6233 0.1307  4 S 2.28-2.38
Er2 0.8335 0.8335 0.4996  6 S 2.69
S4 0.7454 0.0882 0.7485  4 Cu 2.28-2.38
Cu4 0.7194 0.3767 0.8693  4 S 2.28-2.38
S5 0.5821 0.2546 0.2515  4 Cu 2.28-2.38
S6 0.9118 0.5821 0.2515  4 Cu 2.28-2.38
Cu5 0.3767 0.0346 0.8693  4 S 2.28-2.38
Cu6 0.9654 0.2806 0.1307  4 S 2.28-2.38

Summary:
Crystal system: trigonal
Final energy, eV per atom: -18.8165
SG: R-3
Raw formation energy, meV per atom: -985


11.
Computed, not measured: a crystal of Zr4Co relaxed with PBEsol at the meta-GGA SCAN level of DFT.

a b c (Å): 3.2437 5.6833 5.6833
angles (deg): 85.33 73.42 73.42
Last column: nearest neighbours and their distance in Å.
Element x y z (fractional)
Zr1 0.5817 0.1925 0.6441  2 Co 2.74
Zr2 0.7742 0.6441 0.8075  2 Co 2.74
Co1 0.0000 0.0000 0.0000  8 Zr 2.74
Zr3 0.2258 0.3559 0.1925  2 Co 2.74
Zr4 0.4183 0.8075 0.3559  2 Co 2.74

Summary:
Crystal system: tetragonal
Final energy, eV per atom: -28.1188
Formation enthalpy at 0 K, eV/atom: -0.0990
Relative energy among the computed polymorphs, meV/atom: 0
SG: I4/m


12.
Computed, not measured: a crystal of CoAuBr3 relaxed with PBEsol at the meta-GGA SCAN level of DFT.

a b c (Å): 4.7927 4.7927 4.7927
angles (deg): 90.00 90.00 90.00
Last column: nearest neighbours and their distance in Å.
Element x y z (fractional)
Br1 0.5000 0.0000 0.0000  2 Co 2.40
Au1 0.5000 0.5000 0.5000  12 Br 3.39
Br2 0.0000 0.5000 0.0000  2 Co 2.40
Co1 0.0000 0.0000 0.0000  6 Br 2.40
Br3 0.0000 0.0000 0.5000  2 Co 2.40

Summary:
Crystal system: cubic
Final energy, eV per atom: -28.7542
Relative energy among the computed polymorphs, meV/atom: 0
SG: Pm-3m
Raw formation energy, meV per atom: 214


13.
Computed, not measured: a crystal of Zr2TaCl relaxed with PBEsol at the meta-GGA SCAN level of DFT.

a b c (Å): 3.0454 5.0592 5.0592
angles (deg): 90.00 90.00 90.00
Last column: nearest neighbours and their distance in Å.
Element x y z (fractional)
Ta1 0.5000 0.0000 0.0000  8 Zr 2.95, 2 Ta 3.05
Cl1 0.5000 0.5000 0.5000  8 Zr 2.95, 2 Cl 3.05
Zr1 0.0000 0.5000 0.0000  4 Ta 2.95, 4 Cl 2.95, 2 Zr 3.05
Zr2 0.0000 0.0000 0.5000  4 Ta 2.95, 4 Cl 2.95, 2 Zr 3.05

Summary:
Crystal system: tetragonal
Final energy, eV per atom: -33.9357
Relative energy among the computed polymorphs, meV/atom: 83
SG: P4/mmm
Raw formation energy, meV per atom: 54


14.
Computed, not measured: a crystal of HgTeIr2 relaxed with PBEsol at the meta-GGA SCAN level of DFT.

a b c (Å): 3.1156 4.7618 4.7618
angles (deg): 99.20 90.00 90.00
Last column: nearest neighbours and their distance in Å.
Element x y z (fractional)
Ir1 0.0000 0.0000 0.5000  4 Hg 2.85, 4 Te 2.85, 4 Ir 3.09-3.12
Te1 0.5000 0.0000 0.0000  8 Ir 2.85, 2 Hg 3.09, 2 Te 3.12
Hg1 0.5000 0.5000 0.5000  8 Ir 2.85, 2 Te 3.09, 2 Hg 3.12
Ir2 0.0000 0.5000 0.0000  4 Te 2.85, 4 Hg 2.85, 4 Ir 3.09-3.12

Summary:
Crystal system: orthorhombic
Final energy, eV per atom: -61.2307
Relative energy among the computed polymorphs, meV/atom: 171
SG: Cmmm
Raw formation energy, meV per atom: 673